VASP calculation (PBE) on a relaxed CaCu2Au crystal.

Cell lengths 3.482, 3.482, 6.038 Å; angles 90.00, 90.00, 90.00 degrees
Atoms (fractional coordinates):
Ca: 0.500 0.500 0.750
Cu: 0.000 0.000 0.045
Cu: 0.000 0.000 0.455
Au: 0.500 0.500 0.250

Output
DOS at the Fermi energy = 0.39 states/eV per atom
V = 18.30 A^3/atom
symmetry = P4/mmm, No. 123
size of the total moment = 0.00 μB per formula unit
DFT formation energy = -117 meV/atom
ΔE to the lowest computed polymorph = 160 meV/atom
total energy = -13.94 eV per formula unit

VASP calculation (PBE) on a relaxed NaSr3Pt crystal.

Cell lengths 9.022, 9.022, 9.022 Å; angles 52.14, 52.14, 52.14 degrees
Atoms (fractional coordinates):
Sr: 0.703 0.389 0.103
Sr: 0.897 0.297 0.611
Sr: 0.103 0.703 0.389
Sr: 0.389 0.103 0.703
Sr: 0.297 0.611 0.897
Sr: 0.611 0.897 0.297
Pt: 0.316 0.316 0.316
Pt: 0.684 0.684 0.684
Na: 0.821 0.821 0.821
Na: 0.179 0.179 0.179

Output
DOS at the Fermi energy = 0.61 states/eV per atom
V = 42.34 A^3/atom
symmetry = R-3, No. 148
size of the total moment = 0.00 μB per formula unit
DFT formation energy = -360 meV/atom
ΔE to the lowest computed polymorph = 77 meV/atom
total energy = -14.20 eV per formula unit

VASP calculation (PBE) on a relaxed HoMg4Cu crystal.

Cell lengths 4.227, 7.336, 8.526 Å; angles 90.00, 90.00, 90.00 degrees
Atoms (fractional coordinates):
Mg: 0.500 0.307 0.939
Mg: 0.500 0.056 0.250
Mg: 0.500 0.944 0.750
Mg: 0.000 0.000 0.000
Mg: 0.500 0.693 0.061
Mg: 0.500 0.307 0.561
Mg: 0.500 0.693 0.439
Mg: 0.000 0.000 0.500
Ho: 0.000 0.403 0.250
Ho: 0.000 0.597 0.750
Cu: 0.000 0.793 0.250
Cu: 0.000 0.207 0.750

Output
DOS at the Fermi energy = 0.39 states/eV per atom
V = 22.03 A^3/atom
symmetry = Pmma, No. 51
size of the total moment = 0.00 μB per formula unit
DFT formation energy = -99 meV/atom
total energy = -15.64 eV per formula unit

VASP calculation (PBE) on a relaxed NpPaP crystal.

Cell lengths 3.743, 3.743, 5.151 Å; angles 111.31, 111.31, 90.00 degrees
Site moments in Bohr magnetons follow the coordinates.
Atoms (fractional coordinates):
Pa: 0.649 0.649 0.299  0.87
Np: 0.354 0.354 0.707  3.62
P: 0.997 0.997 0.994  -0.06

Output
DOS at the Fermi energy = 2.41 states/eV per atom
V = 20.64 A^3/atom
symmetry = I4mm, No. 107
size of the total moment = 4.70 μB per formula unit
DFT formation energy = -476 meV/atom
ΔE to the lowest computed polymorph = 0 meV/atom
total energy = -29.27 eV per formula unit

Question: Which formula does entry 3 have?
Answer: HoMg4Cu

Question: Look up the DOS at the Fermi energy of the second one.
Answer: 0.61 states/eV per atom